[1]
Computed, not measured: an optimized crystal structure of Ca2TmLu at the PBE level of DFT.

Structure (POSCAR):
```
Ca2TmLu
1.0
1.775 1.025 12.842
-1.775 1.025 12.842
0.000 -2.050 12.842
Ca Tm Lu
2 1 1
Cartesian
0.000 0.000 3.373 Ca
0.000 0.000 35.154 Ca
0.000 0.000 19.264 Tm
0.000 0.000 0.000 Lu
```

Computed properties:
- Crystal system: trigonal
- Energy of formation from the pure elements: 0.29 eV per atom
- Space-group type: R-3m
- Calculated total energy: -2.96 eV/atom
- Theoretical density: 5.02 g cm⁻³
- Magnetization: 1.0 μB per formula unit

=====

[2]
Computed, not measured: an optimized crystal structure of CaTmLu at the PBE level of DFT.

Structure (POSCAR):
```
CaTmLu
1.0
3.557 0.000 0.000
-1.778 3.080 0.000
0.000 0.000 9.025
Ca Tm Lu
1 1 1
Cartesian
0.000 0.000 0.000 Ca
0.000 2.054 5.856 Tm
1.778 1.027 3.138 Lu
```

Computed properties:
- Crystal system: trigonal
- Energy of formation from the pure elements: 0.11 eV per atom
- Space-group type: P3m1
- Calculated total energy: -3.56 eV/atom
- Theoretical density: 6.45 g cm⁻³
- Magnetization: 0.6 μB per formula unit

=====

[3]
Computed, not measured: an optimized crystal structure of CaTm4Lu at the PBE level of DFT.

Structure (POSCAR):
```
CaTm4Lu
1.0
0.000 4.624 4.624
4.624 0.000 4.624
4.624 4.624 0.000
Ca Tm Lu
1 4 1
Cartesian
0.000 0.000 0.000 Ca
3.481 3.481 3.481 Tm
5.766 5.766 3.481 Tm
5.766 3.481 5.766 Tm
3.481 5.766 5.766 Tm
6.935 6.935 6.935 Lu
```

Computed properties:
- Crystal system: cubic
- Energy of formation from the pure elements: 0.23 eV per atom
- Space-group type: F-43m
- Calculated total energy: -3.84 eV/atom
- Theoretical density: 7.48 g cm⁻³
- Magnetization: 0.0 μB per formula unit

=====

[4]
Computed, not measured: an optimized crystal structure of CaY2Lu at the PBE level of DFT.

Structure (POSCAR):
```
CaY2Lu
1.0
3.940 0.000 0.000
0.000 3.940 0.000
0.000 0.000 8.862
Ca Y Lu
1 2 1
Cartesian
0.000 0.000 0.000 Ca
1.970 1.970 2.533 Y
1.970 1.970 6.329 Y
0.000 0.000 4.431 Lu
```

Computed properties:
- Crystal system: tetragonal
- Energy of formation from the pure elements: 0.10 eV per atom
- Space-group type: P4/mmm
- Calculated total energy: -4.77 eV/atom
- Theoretical density: 4.74 g cm⁻³
- Magnetization: 0.0 μB per formula unit

=====

[5]
Computed, not measured: an optimized crystal structure of CaY2Lu at the PBE level of DFT.

Structure (POSCAR):
```
CaY2Lu
1.0
5.128 0.000 0.000
0.000 5.128 0.000
0.000 0.000 5.036
Ca Y Lu
1 2 1
Cartesian
0.000 0.000 0.000 Ca
0.000 2.564 2.518 Y
2.564 0.000 2.518 Y
2.564 2.564 0.000 Lu
```

Computed properties:
- Crystal system: tetragonal
- Energy of formation from the pure elements: 0.15 eV per atom
- Space-group type: P4/mmm
- Calculated total energy: -4.72 eV/atom
- Theoretical density: 4.93 g cm⁻³
- Magnetization: 0.0 μB per formula unit

=====

[6]
Computed, not measured: an optimized crystal structure of CaYLu at the PBE level of DFT.

Structure (POSCAR):
```
CaYLu
1.0
-1.810 1.810 7.740
1.810 -1.810 7.740
1.810 1.810 -7.740
Ca Y Lu
1 1 1
Cartesian
0.000 0.000 0.000 Ca
0.000 0.000 4.959 Y
0.000 0.000 10.439 Lu
```

Computed properties:
- Crystal system: tetragonal
- Energy of formation from the pure elements: 0.09 eV per atom
- Space-group type: I4mm
- Calculated total energy: -4.24 eV/atom
- Theoretical density: 4.98 g cm⁻³
- Magnetization: 0.0 μB per formula unit

=====

[7]
Computed, not measured: an optimized crystal structure of CaY2Lu at the PBE level of DFT.

Structure (POSCAR):
```
CaY2Lu
1.0
0.000 4.052 4.052
4.052 0.000 4.052
4.052 4.052 0.000
Ca Y Lu
1 2 1
Cartesian
0.000 0.000 0.000 Ca
2.026 2.026 2.026 Y
6.078 6.078 6.078 Y
4.052 4.052 4.052 Lu
```

Computed properties:
- Crystal system: cubic
- Energy of formation from the pure elements: 0.16 eV per atom
- Space-group type: Fm-3m
- Calculated total energy: -4.70 eV/atom
- Theoretical density: 4.90 g cm⁻³
- Magnetization: 0.0 μB per formula unit

=====

[8]
Computed, not measured: an optimized crystal structure of CaYLu at the PBE level of DFT.

Structure (POSCAR):
```
CaYLu
1.0
3.595 0.000 0.000
-1.797 3.113 0.000
0.000 0.000 9.075
Ca Y Lu
1 1 1
Cartesian
0.000 0.000 0.000 Ca
0.000 2.075 5.868 Y
1.797 1.038 3.119 Lu
```

Computed properties:
- Crystal system: trigonal
- Energy of formation from the pure elements: 0.10 eV per atom
- Space-group type: P3m1
- Calculated total energy: -4.23 eV/atom
- Theoretical density: 4.97 g cm⁻³
- Magnetization: 0.5 μB per formula unit